The following is a DFT calculation (GGA-PBE) of a relaxed MnGaPCl crystal.

abc: 3.303 4.427 10.259
angles: 90.00 90.00 90.00
Atoms (fractional coordinates):
1 Mn 0.000 0.000 0.000
2 Mn 0.000 0.500 0.500
3 Ga 0.500 0.000 0.780
4 Ga 0.500 0.500 0.280
5 P 0.500 0.000 0.159
6 P 0.500 0.500 0.659
7 Cl 0.000 0.000 0.445
8 Cl 0.000 0.500 0.945

Calculated values
Energy relative to the lowest polymorph listed for this composition ... 0.21 kcal/mol of atoms
Final energy ... -5.106 eV/atom
Energy relative to the elements, uncorrected ... -0.97 eV per formula unit

The following is a DFT calculation (GGA-PBE) of a relaxed Rb2NbSiF crystal.

abc: 5.307 5.307 4.883
angles: 90.00 90.00 90.00
Atoms (fractional coordinates):
1 Rb 0.000 0.500 0.000
2 Rb 0.500 0.000 0.000
3 Nb 0.000 0.000 0.500
4 Si 0.500 0.500 0.500
5 F 0.000 0.000 0.000

Calculated values
Final energy ... -3.737 eV/atom
Energy relative to the elements, uncorrected ... 0.61 eV per formula unit

The following is a DFT calculation (GGA-PBE) of a relaxed Dy2ThZrN4 crystal.

abc: 5.987 3.471 6.028
angles: 90.00 109.23 90.00
Atoms (fractional coordinates):
1 Dy 0.000 0.000 0.000
2 Dy 0.000 0.500 0.500
3 Th 0.500 0.000 0.500
4 Zr 0.500 0.500 0.000
5 N 0.254 0.500 0.236
6 N 0.261 0.000 0.764
7 N 0.739 0.000 0.236
8 N 0.746 0.500 0.764

Calculated values
Final energy ... -8.938 eV/atom
Energy relative to the elements, uncorrected ... -13.03 eV per formula unit

The following is a DFT calculation (GGA-PBE) of a relaxed KNi3Ag crystal.

abc: 4.829 4.829 4.829
angles: 90.00 90.00 90.00
Atoms (fractional coordinates):
1 K 0.000 0.000 0.000
2 Ni 0.000 0.500 0.500
3 Ni 0.500 0.000 0.500
4 Ni 0.500 0.500 0.000
5 Ag 0.500 0.500 0.500

Calculated values
ΔE_f ... 109.00 kJ per mole of atoms
Energy relative to the lowest polymorph listed for this composition ... 0.00 kcal/mol of atoms
Final energy ... -3.129 eV/atom

The following is a DFT calculation (GGA-PBE) of a relaxed Ce2NdH8 crystal.

abc: 6.682 6.682 6.682
angles: 146.30 133.21 58.90
Atoms (fractional coordinates):
1 Ce 0.172 0.172 0.000
2 Ce 0.828 0.828 0.000
3 Nd 0.500 0.500 0.000
4 H 0.079 0.340 0.738
5 H 0.233 0.000 0.233
6 H 0.331 0.831 0.500
7 H 0.398 0.660 0.738
8 H 0.602 0.340 0.262
9 H 0.669 0.169 0.500
10 H 0.767 0.000 0.767
11 H 0.921 0.660 0.262

Calculated values
Final energy ... -4.493 eV/atom

The following is a DFT calculation (GGA-PBE) of a relaxed TcIr2PdAu crystal.

abc: 4.858 4.858 4.886
angles: 90.00 90.00 90.00
Atoms (fractional coordinates):
1 Tc 0.000 0.000 0.000
2 Ir 0.000 0.500 0.500
3 Ir 0.500 0.000 0.500
4 Pd 0.500 0.500 0.000
5 Au 0.000 0.000 0.500

Calculated values
ΔE_f ... 224.62 kJ per mole of atoms
Final energy ... -4.984 eV/atom

The following is a DFT calculation (GGA-PBE) of a relaxed LiReBr2 crystal.

abc: 15.450 3.252 3.252
angles: 90.00 93.13 90.00
Atoms (fractional coordinates):
1 Li 0.000 0.000 0.000
2 Li 0.500 0.500 0.000
3 Re 0.383 0.000 0.470
4 Re 0.883 0.500 0.470
5 Br 0.058 0.500 0.515
6 Br 0.301 0.500 0.948
7 Br 0.558 0.000 0.515
8 Br 0.801 0.000 0.948

Calculated values
Energy relative to the lowest polymorph listed for this composition ... 1.81 kcal/mol of atoms
Final energy ... -4.210 eV/atom
Energy relative to the elements, uncorrected ... 0.87 eV per formula unit

The following is a DFT calculation (GGA-PBE) of a relaxed MnV3Ru4 crystal.

abc: 3.028 4.247 8.497
angles: 90.00 90.00 90.00
Atoms (fractional coordinates):
1 Mn 0.000 0.000 0.000
2 V 0.000 0.000 0.500
3 V 0.000 0.500 0.243
4 V 0.000 0.500 0.757
5 Ru 0.500 0.000 0.257
6 Ru 0.500 0.000 0.743
7 Ru 0.500 0.500 0.000
8 Ru 0.500 0.500 0.500

Calculated values
ΔE_f ... -20.33 kJ per mole of atoms
Final energy ... -9.414 eV/atom

| no. | total magnetic moment (μB/cell) |
| --- | --- |
| 1 | 6.2 |
| 2 | 2.1 |
| 3 | 0.0 |
| 4 | 1.6 |
| 5 | 1.9 |
| 6 | 5.3 |
| 7 | 0.0 |
| 8 | 4.5 |